Entry from the Alexandria database: crystalline CsHg3Pd at its relaxed geometry (PBE).

Values from the calculation:
- energy of formation (eV per atom) = -0.0087
- E_tot (eV per atom) = -1.399
- density of states at the Fermi level (states/eV per atom) = 0.41
- space-group type = No. 119
- energy above the lowest structure with this stoichiometry (eV/atom) = 0.2676

a b c (Å): 14.3379 14.3379 14.3379
angles (deg): 157.99 157.99 31.33
Closest atoms and distances in Å follow each position.
Sites, in units of the cell vectors:
Cs (0.0000, 0.0000, 0.0000)  4 Hg 3.65
Cs (0.7500, 0.2500, 0.5000)  8 Hg 3.77-4.00
Hg (0.3556, 0.3556, 0.0000)  2 Pd 2.76
Hg (0.3703, 0.1229, 0.2474)  2 Hg 2.71-2.77
Hg (0.6444, 0.6444, 0.0000)  2 Pd 2.76
Hg (0.8755, 0.1229, 0.7526)  2 Hg 2.71-2.77
Hg (0.8771, 0.1245, 0.2474)  2 Hg 2.71-2.77
Hg (0.8771, 0.6297, 0.7526)  2 Hg 2.71-2.77
Pd (0.1318, 0.6318, 0.5000)  6 Hg 2.76-3.06
Pd (0.3682, 0.8682, 0.5000)  6 Hg 2.76-3.06

---

Entry from the Alexandria database: crystalline ZnInIr2 at its relaxed geometry (PBE).

Values from the calculation:
- energy of formation (eV per atom) = 0.1219
- E_tot (eV per atom) = -5.312
- density of states at the Fermi level (states/eV per atom) = 1.20
- space-group type = No. 99

a b c (Å): 2.8633 2.8633 8.1755
angles (deg): 90.00 90.00 90.00
Closest atoms and distances in Å follow each position.
Sites, in units of the cell vectors:
Zn (0.0000, 0.0000, 0.0000)  4 Ir 2.67, 4 Zn 2.86
In (0.5000, 0.5000, 0.3103)  4 In 2.86, 4 Ir 2.91
Ir (0.0000, 0.0000, 0.5655)  8 Ir 2.72-2.86, 4 In 2.91
Ir (0.5000, 0.5000, 0.7868)  4 Zn 2.67, 8 Ir 2.72-2.86

---

Entry from the Alexandria database: crystalline Tl3Bi2Au3 at its relaxed geometry (PBE).

Values from the calculation:
- energy of formation (eV per atom) = -0.0261
- E_tot (eV per atom) = -3.113
- density of states at the Fermi level (states/eV per atom) = 0.17
- space-group type = No. 62

a b c (Å): 8.3871 14.4159 7.8016
angles (deg): 90.00 90.00 90.00
Closest atoms and distances in Å follow each position.
Sites, in units of the cell vectors:
Tl (0.0072, 0.0987, 0.1431)  4 Au 3.02-3.34
Tl (0.0072, 0.4013, 0.1431)  4 Au 3.02-3.34
Tl (0.2004, 0.7500, 0.4947)  3 Au 3.00-3.09
Tl (0.2996, 0.2500, 0.9947)  3 Au 3.00-3.09
Tl (0.4928, 0.5987, 0.6431)  4 Au 3.02-3.34
Tl (0.4928, 0.9013, 0.6431)  4 Au 3.02-3.34
Tl (0.5072, 0.0987, 0.3569)  4 Au 3.02-3.34
Tl (0.5072, 0.4013, 0.3569)  4 Au 3.02-3.34
Tl (0.7004, 0.7500, 0.0053)  3 Au 3.00-3.09
Tl (0.7996, 0.2500, 0.5053)  3 Au 3.00-3.09
Tl (0.9928, 0.5987, 0.8569)  4 Au 3.02-3.34
Tl (0.9928, 0.9013, 0.8569)  4 Au 3.02-3.34
Bi (0.1126, 0.1053, 0.5877)  4 Au 2.82-2.98
Bi (0.1126, 0.3947, 0.5877)  4 Au 2.82-2.98
Bi (0.3874, 0.6053, 0.0877)  4 Au 2.82-2.98
Bi (0.3874, 0.8947, 0.0877)  4 Au 2.82-2.98
Bi (0.6126, 0.1053, 0.9123)  4 Au 2.82-2.98
Bi (0.6126, 0.3947, 0.9123)  4 Au 2.82-2.98
Bi (0.8874, 0.6053, 0.4123)  4 Au 2.82-2.98
Bi (0.8874, 0.8947, 0.4123)  4 Au 2.82-2.98
Au (0.2257, 0.5446, 0.3841)  3 Bi 2.82-2.98, 3 Tl 3.09-3.14
Au (0.2257, 0.9554, 0.3841)  3 Bi 2.82-2.98, 3 Tl 3.09-3.14
Au (0.2410, 0.7500, 0.8770)  2 Bi 2.93, 3 Tl 3.00-3.02
Au (0.2590, 0.2500, 0.3770)  2 Bi 2.93, 3 Tl 3.00-3.02
Au (0.2743, 0.0446, 0.8841)  3 Bi 2.82-2.98, 3 Tl 3.09-3.14
Au (0.2743, 0.4554, 0.8841)  3 Bi 2.82-2.98, 3 Tl 3.09-3.14
Au (0.7257, 0.5446, 0.1159)  3 Bi 2.82-2.98, 3 Tl 3.09-3.14
Au (0.7257, 0.9554, 0.1159)  3 Bi 2.82-2.98, 3 Tl 3.09-3.14
Au (0.7410, 0.7500, 0.6230)  2 Bi 2.93, 3 Tl 3.00-3.02
Au (0.7590, 0.2500, 0.1230)  2 Bi 2.93, 3 Tl 3.00-3.02
Au (0.7743, 0.0446, 0.6159)  3 Bi 2.82-2.98, 3 Tl 3.09-3.14
Au (0.7743, 0.4554, 0.6159)  3 Bi 2.82-2.98, 3 Tl 3.09-3.14

---

Entry from the Alexandria database: crystalline Ni3C at its relaxed geometry (PBE).

Values from the calculation:
- energy of formation (eV per atom) = 0.2192
- E_tot (eV per atom) = -6.423
- density of states at the Fermi level (states/eV per atom) = 0.70
- space-group type = No. 63
- energy above the lowest structure with this stoichiometry (eV/atom) = 0.1574

a b c (Å): 5.4771 5.4771 2.6266
angles (deg): 90.00 90.00 103.40
Closest atoms and distances in Å follow each position.
Sites, in units of the cell vectors:
Ni (0.1228, 0.8772, 0.7500)  2 C 1.93
Ni (0.1921, 0.4450, 0.7500)  2 C 1.94
Ni (0.4450, 0.1921, 0.2500)  2 C 1.94
Ni (0.5550, 0.8079, 0.7500)  2 C 1.94
Ni (0.8079, 0.5550, 0.2500)  2 C 1.94
Ni (0.8772, 0.1228, 0.2500)  2 C 1.93
C (0.2880, 0.7120, 0.2500)  6 Ni 1.93-1.94
C (0.7120, 0.2880, 0.7500)  6 Ni 1.93-1.94

---

Entry from the Alexandria database: crystalline Tb10SmTm4 at its relaxed geometry (PBE).

Values from the calculation:
- energy of formation (eV per atom) = 0.3418
- E_tot (eV per atom) = -4.252
- density of states at the Fermi level (states/eV per atom) = 1.44
- space-group type = No. 87

a b c (Å): 8.6100 8.6100 8.6100
angles (deg): 111.67 111.67 105.16
Closest atoms and distances in Å follow each position.
Sites, in units of the cell vectors:
Tb (0.0451, 0.3730, 0.1015)  5 Tb 3.12-3.34
Tb (0.0564, 0.9549, 0.3279)  5 Tb 3.12-3.34
Tb (0.2500, 0.7500, 0.5000)  4 Tb 3.12, 4 Tm 3.13
Tb (0.2715, 0.9436, 0.8985)  5 Tb 3.12-3.34
Tb (0.3730, 0.2715, 0.3279)  5 Tb 3.12-3.34
Tb (0.6270, 0.7285, 0.6721)  5 Tb 3.12-3.34
Tb (0.7285, 0.0564, 0.1015)  5 Tb 3.12-3.34
Tb (0.7500, 0.2500, 0.5000)  4 Tb 3.12, 4 Tm 3.13
Tb (0.9436, 0.0451, 0.6721)  5 Tb 3.12-3.34
Tb (0.9549, 0.6270, 0.8985)  5 Tb 3.12-3.34
Sm (0.5000, 0.5000, 0.0000)  4 Tm 3.32
Tm (0.1640, 0.4314, 0.5954)  2 Tb 3.13, 1 Sm 3.32, 1 Tm 3.44
Tm (0.4314, 0.8360, 0.2674)  2 Tb 3.13, 1 Sm 3.32, 1 Tm 3.44
Tm (0.5686, 0.1640, 0.7326)  2 Tb 3.13, 1 Sm 3.32, 1 Tm 3.44
Tm (0.8360, 0.5686, 0.4046)  2 Tb 3.13, 1 Sm 3.32, 1 Tm 3.44

---

Entry from the Alexandria database: crystalline Ho3TlGa2 at its relaxed geometry (PBE).

Values from the calculation:
- energy of formation (eV per atom) = -0.4936
- E_tot (eV per atom) = -4.186
- density of states at the Fermi level (states/eV per atom) = 0.46
- space-group type = No. 123

a b c (Å): 3.5961 3.5961 11.1506
angles (deg): 90.00 90.00 90.00
Closest atoms and distances in Å follow each position.
Sites, in units of the cell vectors:
Ho (0.0000, 0.0000, 0.0000)  8 Ga 3.10
Ho (0.0000, 0.0000, 0.3154)  4 Ga 3.09, 4 Tl 3.27
Ho (0.0000, 0.0000, 0.6846)  4 Ga 3.09, 4 Tl 3.27
Tl (0.5000, 0.5000, 0.5000)  8 Ho 3.27, 4 Tl 3.60
Ga (0.5000, 0.5000, 0.1585)  8 Ho 3.09-3.10
Ga (0.5000, 0.5000, 0.8415)  8 Ho 3.09-3.10